# 1
This record from the Alexandria database describes TaTiW3 at its PBEsol-relaxed geometry. The functional is SCAN.

```
5
Lattice="-0.049 3.874 2.673 -2.720 2.159 -3.178 -3.842 -1.578 2.216" Properties=species:S:1:pos:R:3 pbc="T T T"
Ti -3.305 2.228 0.855
W -1.360 1.079 -1.589
W -1.921 -0.789 1.108
W -0.024 1.937 1.337
Ta 0.000 0.000 0.000
```

**Calculated density**: 12422 kg/m³
**Crystal system**: cubic
**DFT total energy**: -56.16 eV/atom
**Space group**: Pm-3m (221)



# 2
This record from the Alexandria database describes TaTi2W at its PBEsol-relaxed geometry. The functional is SCAN.

```
4
Lattice="-0.093 4.278 -1.388 -0.155 0.935 -4.398 -3.753 1.697 -1.808" Properties=species:S:1:pos:R:3 pbc="T T T"
Ti -1.000 1.728 -1.898
Ti -3.001 5.183 -5.695
W -2.000 3.455 -3.797
Ta 0.000 0.000 0.000
```

**Calculated density**: 11878 kg/m³
**Crystal system**: cubic
**DFT total energy**: -41.96 eV/atom
**Space group**: Fm-3m (225)



| no. | formation energy from the elements (eV/atom) |
| --- | --- |
| 1 | 2.18 |
| 2 | 0.12 |